(1)
The following is a PBE calculation of a geometry-optimized TbCuNi structure, from Alexandria.

Properties
formation energy from the elements = -0.180 eV/atom
SG = I4mm

abc: 3.3743 3.3743 5.0931
angles: 109.35 109.35 90.00
Sites, in units of the cell vectors:
Ni: 0.2657 0.2657 0.5313
Cu: 0.6387 0.6387 0.2773
Tb: 0.9457 0.9457 0.8913



(2)
The following is a PBE calculation of a geometry-optimized CoS2 structure, from Alexandria.

Properties
SG = Pnma
formation energy from raw total energies = -0.324 eV per atom

abc: 3.3610 4.6100 11.3454
angles: 90.00 90.00 90.00
Sites, in units of the cell vectors:
S: 0.7500 0.8184 0.6911
S: 0.7500 0.6816 0.1911
S: 0.7500 0.2245 0.0556
S: 0.2500 0.7245 0.4444
S: 0.2500 0.1816 0.3089
S: 0.2500 0.7755 0.9444
S: 0.2500 0.3184 0.8089
S: 0.7500 0.2755 0.5556
Co: 0.2500 0.9646 0.1362
Co: 0.2500 0.5354 0.6362
Co: 0.7500 0.4646 0.3638
Co: 0.7500 0.0354 0.8638



Number 1: energy -5.015 eV/atom, N(E_F) 0.895 states/eV per atom. Number 2: energy -5.444 eV/atom, N(E_F) 0.477 states/eV per atom.